# 1
The following is a PBE calculation of a relaxed structure of BaSr2In, from the Alexandria database.

**Distance to the lowest polymorph of the same formula**: 0.0491 eV per atom
**Mass density**: 3.91 g/cm³
**Crystal system**: orthorhombic
**Energy relative to the elements**: -0.172 eV/atom
**Density of states at the Fermi level**: 8.06 states/eV/cell

Lattice parameters (Å, degrees): 4.278 6.284 13.509 90.00 90.00 90.00
Space group Imm2 (No. 44)
Asymmetric unit:
1 Ba 0.000 0.000 0.000 [2 per cell]
2 Sr 0.000 0.000 0.594 [2 per cell]
3 Sr 0.000 0.500 0.799 [2 per cell]
4 In 0.000 0.500 0.290 [2 per cell]


# 2
The following is a PBE calculation of a relaxed structure of ZrBe5Pt, from the Alexandria database.

**Mass density**: 7.24 g/cm³
**Crystal system**: orthorhombic
**Energy relative to the elements**: -0.516 eV/atom
**Density of states at the Fermi level**: 8.16 states/eV/cell

Lattice parameters (Å, degrees): 7.484 4.351 9.337 90.00 90.00 90.00
Space group Pnma (No. 62)
Asymmetric unit:
1 Zr 0.236 0.250 0.064 [4 per cell]
2 Be 0.035 0.750 0.111 [4 per cell]
3 Be 0.058 0.005 0.313 [8 per cell]
4 Be 0.076 0.250 0.515 [4 per cell]
5 Be 0.201 0.250 0.747 [4 per cell]
6 Pt 0.146 0.750 0.863 [4 per cell]


Q: Which E_tot values were calculated for the entries above? A: -2.178; -5.262, in eV/atom.